The following is a PBE-GGA calculation of an optimized crystal structure of NaGaBr, from Alexandria.

a = 6.4766 Å, b = 6.8024 Å, c = 9.9106 Å
α = 90.00°, β = 90.00°, γ = 118.43°
Atoms (fractional coordinates):
Na: 0.2135 0.9270 0.7500
Na: 0.7865 0.0730 0.2500
Na: 0.7135 0.9270 0.7500
Na: 0.2865 0.0730 0.2500
Ga: 0.1131 0.2262 0.9855
Ga: 0.6131 0.2262 0.5145
Ga: 0.8869 0.7738 0.0145
Ga: 0.3869 0.7738 0.4855
Br: 0.3500 0.7001 0.9723
Br: 0.8500 0.7001 0.5277
Br: 0.1500 0.2999 0.4723
Br: 0.6500 0.2999 0.0277

## Properties
Mass density ... 3.0 g/cm³
N(E_F) ... 1.00 states/eV/cell
Uncorrected formation energy ... -0.461 eV per atom

***

The following is a PBE-GGA calculation of an optimized crystal structure of NaGa3Br9, from Alexandria.

a = 9.9222 Å, b = 10.7035 Å, c = 12.1782 Å
α = 72.65°, β = 65.96°, γ = 62.39°
Each line ends with the local moment (μB).
Atoms (fractional coordinates):
Ga: 0.7809 0.5560 0.6934  0.29
Ga: 0.4561 0.7498 0.2343  0.01
Ga: 0.9696 0.0560 0.1934  0.29
Ga: 0.5597 0.2498 0.7343  0.01
Ga: 0.2498 0.4559 0.3006  0.05
Ga: 0.9938 0.9559 0.8006  0.05
Br: 0.1400 0.5914 0.1453  0.01
Br: 0.4991 0.4980 0.2537  0.02
Br: 0.1281 0.7090 0.7952  0.01
Br: 0.2889 0.8899 0.1082  0.05
Br: 0.9641 0.2788 0.2117  0.13
Br: 0.3451 0.8160 0.4269  0.00
Br: 0.7127 0.7490 0.1301  0.01
Br: 0.0758 0.5268 0.4935  0.04
Br: 0.5454 0.7788 0.7117  0.13
Br: 0.4083 0.2490 0.6301  0.01
Br: 0.1233 0.0914 0.6453  0.01
Br: 0.9039 0.0268 0.9935  0.04
Br: 0.8236 0.4456 0.8883  0.12
Br: 0.7492 0.9980 0.7537  0.02
Br: 0.4120 0.3160 0.9269  0.00
Br: 0.7130 0.3899 0.6082  0.05
Br: 0.8426 0.9456 0.3883  0.12
Br: 0.3677 0.2090 0.2952  0.01
Na: 0.4934 0.9912 0.4968  0.00
Na: 0.0186 0.4912 0.9968  0.00

## Properties
Mass density ... 3.0 g/cm³
N(E_F) ... 5.15 states/eV/cell
Uncorrected formation energy ... -0.836 eV per atom